(1)
First-principles (PBE-GGA) data for a relaxed Y4Se5F2 crystal, as listed in Alexandria via LeMat-Bulk.

Output
V, Å³ per cell: 270.47
ΔE_f (raw), eV/atom: -2.2544

Cell and atoms, written as POSCAR:
```
Y4Se5F2
1.0
-1.0895 0.0728 3.8947
-2.8904 -7.3534 -0.6712
10.2012 2.2551 0.7112
F Y Se
2 4 5
Cartesian
7.0512 -2.0085 2.0101
-0.8300 -3.0170 1.9246
-0.4682 -1.9351 -0.0948
4.7653 -0.8287 1.3486
6.6894 -3.0904 4.0295
1.4559 -4.1968 2.5861
0.4226 -5.6249 0.2233
5.7987 0.5994 3.7114
2.1479 -2.2530 0.6430
4.0733 -2.7726 3.2917
-0.5448 0.0364 1.9474
```


(2)
First-principles (PBE-GGA) data for a relaxed AlH3S crystal, as listed in Alexandria via LeMat-Bulk.

Output
ΔE to the lowest computed polymorph, meV per atom: 115.8
V, Å³ per cell: 47.37

Cell and atoms, written as POSCAR:
```
AlH3S
1.0
3.6183 0.0000 0.0000
0.0000 3.6183 0.0000
0.0000 0.0000 3.6183
S H Al
1 3 1
Cartesian
0.0000 0.0000 0.0000
1.8092 0.0000 0.0000
0.0000 0.0000 1.8092
0.0000 1.8092 0.0000
1.8092 1.8092 1.8092
```


(3)
First-principles (PBE-GGA) data for a relaxed Tm3Be2CoSi6 crystal, as listed in Alexandria via LeMat-Bulk.

Output
V, Å³ per cell: 203.44
ΔE_f (raw), eV/atom: -0.2235

Cell and atoms, written as POSCAR:
```
Tm3Be2CoSi6
1.0
-4.4028 3.5148 0.2940
-0.3701 -4.7364 -3.0421
-2.4907 -3.6163 5.9334
Si Be Tm Co
6 2 3 1
Cartesian
-3.7678 -2.7064 -0.5586
-1.8553 -4.2331 -0.6863
-1.6945 -2.1757 0.6351
-3.4959 -2.1315 3.7440
-5.4083 -0.6047 3.8717
-5.5691 -2.6621 2.5503
-1.8032 -2.1151 -1.7183
-5.4604 -2.7228 4.9036
-3.9689 -0.5574 1.3507
-3.2947 -4.2805 1.8346
0.0000 0.0000 0.0000
-1.2454 -1.8081 2.9667
```


(4)
First-principles (PBE-GGA) data for a relaxed RbInAgTe2 crystal, as listed in Alexandria via LeMat-Bulk.

Output
ΔE to the lowest computed polymorph, meV per atom: 0.0
V, Å³ per cell: 374.51
ΔE_f (raw), eV/atom: -0.4202

Cell and atoms, written as POSCAR:
```
RbInAgTe2
1.0
6.8189 0.0000 0.0000
0.0000 7.1416 0.0000
0.0000 -3.5708 7.6905
Te Rb Ag In
4 2 2 2
Cartesian
1.8177 0.0000 5.7377
5.0012 3.5708 1.9528
5.0012 3.5708 5.7377
1.8177 0.0000 1.9528
5.1966 0.0000 3.8452
1.6223 3.5708 3.8452
0.0000 3.5708 0.0000
0.0000 0.0000 0.0000
3.4094 5.3562 0.0000
3.4094 1.7854 0.0000
```


(5)
First-principles (PBE-GGA) data for a relaxed Ba2PuBi3Pd4 crystal, as listed in Alexandria via LeMat-Bulk.

Output
Formation enthalpy at 0 K, eV per formula unit: -5.96
V, Å³ per cell: 274.18

Cell and atoms, written as POSCAR:
```
Ba2PuBi3Pd4
1.0
-1.7846 3.7712 -2.5010
-2.7663 -3.0368 -2.6051
-8.5309 1.1114 7.7632
Bi Ba Pd Pu
3 2 4 1
Cartesian
-8.3913 2.8626 5.5737
-2.4150 -1.3840 -0.3636
-4.2654 0.5557 3.8816
-2.8467 2.1402 0.5280
-7.9596 -0.6616 4.6821
-6.3367 2.5949 3.7039
-2.2755 0.3672 -2.5531
0.0000 0.0000 0.0000
-4.4697 -1.1163 1.5062
-6.5409 0.9229 1.3285
```


(6)
First-principles (PBE-GGA) data for a relaxed Tb8Sm3Tm4 crystal, as listed in Alexandria via LeMat-Bulk.

Output
Formation enthalpy at 0 K, eV per formula unit: 5.65
V, Å³ per cell: 492.23

Cell and atoms, written as POSCAR:
```
Tb8Sm3Tm4
1.0
-5.3008 -3.2238 -2.7601
3.2463 -4.1990 7.5782
-2.4801 6.3457 6.2595
Tb Sm Tm
8 3 4
Cartesian
-3.6629 -0.9601 8.2278
-3.7103 2.1185 5.2065
-0.8244 -3.1957 5.8711
-0.7789 3.2131 6.6512
1.5451 -1.0664 7.1865
-0.8718 -0.1170 2.8498
-3.8460 -1.8388 1.9971
-0.6886 0.7617 9.0806
-3.8905 1.5609 1.7497
-2.2673 -0.5386 5.5388
-1.0273 -3.7114 2.4091
-1.2401 3.1729 3.1297
1.6232 -2.0995 3.7891
-2.6504 -1.6119 -1.3800
0.0000 0.0000 0.0000
```


(7)
First-principles (PBE-GGA) data for a relaxed NpAlRhO6 crystal, as listed in Alexandria via LeMat-Bulk.

Output
V, Å³ per cell: 205.93
ΔE_f (raw), eV/atom: -2.2206

Cell and atoms, written as POSCAR:
```
NpAlRhO6
1.0
4.7239 0.0000 0.0000
0.0000 4.7239 0.0000
0.0000 0.0000 9.2283
O Np Al Rh
12 2 2 2
Cartesian
1.4909 1.4909 6.2261
3.8529 0.8711 1.6120
1.4527 1.4527 9.1410
3.2330 3.2330 6.2261
0.9864 3.7375 7.7057
3.2712 3.2712 9.1410
3.8146 0.9093 4.5269
3.3484 3.3484 3.0915
0.8711 3.8529 1.6120
0.9093 3.8146 4.5269
3.7375 0.9864 7.7057
1.3756 1.3756 3.0915
0.0000 0.0000 6.1700
2.3620 2.3620 1.5558
0.0000 0.0000 3.0668
2.3620 2.3620 7.6810
0.0000 0.0000 9.2155
2.3620 2.3620 4.6014
```


(8)
First-principles (PBE-GGA) data for a relaxed Sc2Si2Tc crystal, as listed in Alexandria via LeMat-Bulk.

Output
ΔE to the lowest computed polymorph, meV per atom: 0.0
V, Å³ per cell: 167.34
ΔE_f (raw), eV/atom: -0.7906

Cell and atoms, written as POSCAR:
```
Sc2Si2Tc
1.0
-0.8624 0.3231 6.4913
-6.4661 -0.7042 -0.8240
0.3899 -3.8658 0.2442
Si Tc Sc
4 2 4
Cartesian
-1.3799 0.1122 3.9793
-5.9486 -0.4933 1.6880
-2.5076 -0.2191 0.5350
-4.8209 -0.1619 5.1323
0.0000 0.0000 0.0000
-3.6643 -0.1905 2.8337
-2.6143 -1.8949 5.2067
-4.3244 -2.3518 0.7048
-1.2198 -1.9516 2.0838
-5.7188 -2.2952 3.8277
```


(9)
First-principles (PBE-GGA) data for a relaxed BaTiTl2Sn crystal, as listed in Alexandria via LeMat-Bulk.

Output
Formation enthalpy at 0 K, eV per formula unit: -1.02
V, Å³ per cell: 160.23

Cell and atoms, written as POSCAR:
```
BaTiTl2Sn
1.0
-4.2678 2.6745 -2.1085
-3.2508 -2.1911 3.8006
0.9996 4.1596 3.2531
Tl Sn Ba Ti
2 1 1 1
Cartesian
-1.6254 -1.0956 1.9003
-2.1339 1.3373 -1.0542
0.4998 2.0798 1.6265
-3.2595 2.3215 2.4726
0.0000 0.0000 0.0000
```


(10)
First-principles (PBE-GGA) data for a relaxed GaSi2Pb2 crystal, as listed in Alexandria via LeMat-Bulk.

Output
ΔE to the lowest computed polymorph, meV per atom: 0.0
V, Å³ per cell: 117.44
ΔE_f (raw), eV/atom: 0.2574

Cell and atoms, written as POSCAR:
```
GaSi2Pb2
1.0
3.5168 0.0000 0.0000
0.0000 3.5168 0.0000
1.7584 1.7584 9.4957
Si Ga Pb
2 1 2
Cartesian
3.5168 1.7584 4.7478
1.7584 3.5168 4.7478
0.0000 0.0000 0.0000
1.7584 1.7584 2.0573
3.5168 3.5168 7.4384
```


(11)
First-principles (PBE-GGA) data for a relaxed AlAgCl2 crystal, as listed in Alexandria via LeMat-Bulk.

Output
ΔE to the lowest computed polymorph, meV per atom: 411.8
V, Å³ per cell: 99.02
ΔE_f (raw), eV/atom: -0.3342

Cell and atoms, written as POSCAR:
```
AlAgCl2
1.0
-5.1774 3.0541 3.8641
-7.0112 1.2070 0.6713
-5.8678 -1.0059 3.9522
Cl Ag Al
2 1 1
Cartesian
-17.9026 3.2274 8.4154
-9.1819 1.6553 4.3161
-4.5141 0.8138 2.1219
-13.5423 2.4413 6.3657
```


(12)
First-principles (PBE-GGA) data for a relaxed Nd3Dy3Pt2 crystal, as listed in Alexandria via LeMat-Bulk.

Output
Formation enthalpy at 0 K, eV per formula unit: -4.65
V, Å³ per cell: 460.62

Cell and atoms, written as POSCAR:
```
Nd3Dy3Pt2
1.0
-1.6821 1.4870 3.3314
-4.9660 -0.7413 -4.5988
-2.9462 -16.3726 5.8206
Dy Nd Pt
6 6 4
Cartesian
-5.2406 -4.0914 -0.8198
-4.0123 -6.7562 3.4120
-5.5819 -8.8707 1.1411
-2.7861 0.0583 0.9894
-6.8081 -15.6852 3.5637
-4.3536 -11.5355 5.3730
-7.2664 -5.7366 1.3138
-6.4066 -0.9587 -0.3847
-3.1876 -14.6682 4.9379
-3.4390 -3.3489 2.1806
-6.1552 -12.2780 2.3725
-2.3278 -9.8903 3.2393
-5.5007 -9.4439 3.8602
-3.3410 -2.0011 -0.7937
-6.2532 -13.6258 5.3469
-4.0935 -6.1830 0.6929
```


(13)
First-principles (PBE-GGA) data for a relaxed Li2PuGeO4 crystal, as listed in Alexandria via LeMat-Bulk.

Output
V, Å³ per cell: 97.25
ΔE_f (raw), eV/atom: -2.0753

Cell and atoms, written as POSCAR:
```
Li2PuGeO4
1.0
4.7471 0.0000 0.0000
-2.1904 4.9402 0.0000
-2.1904 -2.6852 4.1468
O Pu Li Ge
4 1 2 1
Cartesian
-1.7604 2.7146 0.6921
0.5553 1.1746 2.1600
-2.1395 2.0834 3.8311
-1.7604 -0.8946 2.6548
-1.8159 0.9360 1.7212
0.3744 -0.8815 2.9222
0.3744 2.9320 0.8484
-4.0470 2.0832 3.8307
```


(14)
First-principles (PBE-GGA) data for a relaxed Pr2Dy3Y2 crystal, as listed in Alexandria via LeMat-Bulk.

Output
ΔE to the lowest computed polymorph, meV per atom: 96.1
Formation enthalpy at 0 K, eV per formula unit: 1.55
V, Å³ per cell: 473.95

Cell and atoms, written as POSCAR:
```
Pr2Dy3Y2
1.0
8.0206 0.0000 -2.8357
-4.0103 6.9461 -2.8357
0.0000 0.0000 8.5072
Y Dy Pr
4 6 4
Cartesian
2.3552 2.8667 1.6654
0.0000 0.0000 3.5109
4.3604 0.6064 -1.1703
5.3153 3.4730 -4.0060
3.7793 3.8731 -1.0912
2.5457 5.2095 3.9269
5.4749 1.7365 1.7445
2.7767 1.3364 4.5803
-0.7716 2.1366 1.0912
-1.7742 6.5460 -1.7445
0.0000 0.0000 6.9209
-1.2574 4.7682 3.3645
0.7478 5.6509 0.5287
0.5096 3.4730 -2.3070
```


(15)
First-principles (PBE-GGA) data for a relaxed La6Nd12In crystal, as listed in Alexandria via LeMat-Bulk.

Output
Formation enthalpy at 0 K, eV per formula unit: 0.77
V, Å³ per cell: 670.60

Cell and atoms, written as POSCAR:
```
La6Nd12In
1.0
8.6887 0.6824 0.8175
-0.6427 8.6917 0.8175
-0.6427 -0.7488 8.6979
Nd In La
12 1 6
Cartesian
4.4720 1.9204 4.7111
3.5646 5.0711 2.7314
1.2202 3.7934 5.4775
6.1830 4.8319 4.8554
4.3803 8.3186 8.5278
7.5584 7.3916 7.0247
-0.1551 1.2338 3.3082
3.0230 0.3067 1.8051
1.2430 3.2490 0.6243
6.1602 5.3763 9.7086
3.8387 3.5542 7.6016
2.9312 6.7049 5.6218
0.0000 0.0000 0.0000
1.7806 0.4628 6.4273
5.6226 8.1625 3.9056
0.1875 5.9968 2.9493
7.2157 2.6285 7.3836
5.8990 2.7062 1.6039
1.5042 5.9191 8.7290
```


(16)
First-principles (PBE-GGA) data for a relaxed Sr2AgSn6Pd crystal, as listed in Alexandria via LeMat-Bulk.

Output
Formation enthalpy at 0 K, eV per formula unit: -2.99
V, Å³ per cell: 579.68

Cell and atoms, written as POSCAR:
```
Sr2AgSn6Pd
1.0
7.0371 0.0000 0.0000
3.5185 6.0943 0.0000
3.5185 2.0314 13.5169
Ag Sr Sn Pd
2 4 12 2
Cartesian
7.0371 4.0629 9.6642
7.0371 4.0629 3.8527
3.5185 2.0314 9.0696
10.5556 6.0943 11.6900
3.5185 2.0314 1.8269
10.5556 6.0943 4.4473
5.5045 3.1780 11.9825
9.0874 5.2466 8.1445
9.0874 2.8791 5.3724
4.9868 2.8791 5.3724
7.0371 2.2932 1.5344
7.0371 5.8325 11.9825
5.5045 4.9477 1.5344
7.0371 1.6954 8.1445
7.0371 6.4303 5.3724
8.5696 4.9477 1.5344
8.5696 3.1780 11.9825
4.9868 5.2466 8.1445
7.0371 4.0629 6.7585
0.0000 0.0000 0.0000
```


(17)
First-principles (PBE-GGA) data for a relaxed VCu3Ir crystal, as listed in Alexandria via LeMat-Bulk.

Output
ΔE to the lowest computed polymorph, meV per atom: 0.0
Formation enthalpy at 0 K, eV per formula unit: 6.30
V, Å³ per cell: 97.71

Cell and atoms, written as POSCAR:
```
VCu3Ir
1.0
4.6058 0.0000 0.0000
0.0000 4.6058 0.0000
0.0000 0.0000 4.6058
Cu Ir V
3 1 1
Cartesian
2.3029 0.0000 0.0000
0.0000 0.0000 2.3029
0.0000 2.3029 0.0000
0.0000 0.0000 0.0000
2.3029 2.3029 2.3029
```


(18)
First-principles (PBE-GGA) data for a relaxed Sc5Ir3 crystal, as listed in Alexandria via LeMat-Bulk.

Output
ΔE to the lowest computed polymorph, meV per atom: 11.4
Formation enthalpy at 0 K, eV per formula unit: -6.66
V, Å³ per cell: 311.47

Cell and atoms, written as POSCAR:
```
Sc5Ir3
1.0
-0.3924 -7.7117 1.5888
5.1215 5.8486 1.3048
-4.7701 2.0533 5.4135
Sc Ir
10 6
Cartesian
0.5405 -1.1423 6.4638
-1.3717 -3.3039 4.1763
1.3310 3.5006 4.1296
2.7417 1.2076 2.2780
3.9136 4.0906 2.2173
-3.9543 -3.8937 6.0883
1.0436 -1.4129 3.3264
-0.5812 1.3389 1.8419
-1.0843 1.6095 4.9792
-2.7823 -1.0109 6.0279
-1.2253 0.6535 7.5831
-1.7124 -0.6912 3.4561
1.6720 0.8877 4.8498
-3.5853 1.5966 6.1361
0.9157 -4.2589 3.0098
-0.9565 4.4554 5.2961
```


(19)
First-principles (PBE-GGA) data for a relaxed NaDyTm crystal, as listed in Alexandria via LeMat-Bulk.

Output
ΔE to the lowest computed polymorph, meV per atom: 0.0
Formation enthalpy at 0 K, eV per formula unit: 0.24
V, Å³ per cell: 195.61

Cell and atoms, written as POSCAR:
```
NaDyTm
1.0
-0.0212 -1.9137 -2.9048
2.9818 1.4860 -1.0007
8.3248 -11.5991 7.5807
Tm Dy Na
2 2 2
Cartesian
6.3012 -5.9594 3.8800
3.5038 -5.8536 1.7479
6.0573 -9.4113 4.0731
3.7478 -2.4016 1.5548
0.7752 -2.0517 -0.7368
9.0299 -9.7612 6.3647
```


(20)
First-principles (PBE-GGA) data for a relaxed KIn2HgRu crystal, as listed in Alexandria via LeMat-Bulk.

Output
Formation enthalpy at 0 K, eV per formula unit: -0.33
V, Å³ per cell: 145.83

Cell and atoms, written as POSCAR:
```
KIn2HgRu
1.0
-0.1270 -3.3128 -3.9830
4.4637 -2.0921 1.5978
-2.7554 -3.5541 3.0439
In Ru K Hg
2 1 1 1
Cartesian
2.2318 -1.0461 0.7989
-0.0635 -1.6564 -1.9915
0.0000 0.0000 0.0000
0.7906 -4.4795 0.3294
-1.3777 -1.7770 1.5219
```


M_tot / μB per formula unit: 0.00, 0.00, 0.00, 0.00, 5.65, 0.00, 1.00, 0.00, 0.00, 0.00, 0.00, 0.00, 4.00, 0.00, 0.00, 0.00, 2.52, 0.00, 0.00, 0.00